(1)
AlGaN2 | PBEsol | optimized geometry

The structure in CIF format:
```
data_AlGaN2
_cell_length_a 3.140
_cell_length_b 3.140
_cell_length_c 4.424
_cell_angle_alpha 90.00
_cell_angle_beta 90.00
_cell_angle_gamma 90.00
_space_group_name_H-M_alt 'P -4 m 2'
_space_group_IT_number 115
_space_group_name_Hall 'P -4 -2'
loop_
_atom_site_label
_atom_site_fract_x
_atom_site_fract_y
_atom_site_fract_z
_atom_site_occupancy
Al1 0.000 0.000 0.000 1
Ga1 0.500 0.500 0.500 1
N1 0.000 0.500 0.240 1
```

Results
E above lowest polymorph   8 meV per atom
Total magnetic moment   0.0 μB/cell

=====

(2)
AlGa3N | PBEsol | optimized geometry

The structure in CIF format:
```
data_AlGa3N
_cell_length_a 4.277
_cell_length_b 4.277
_cell_length_c 4.277
_cell_angle_alpha 90.00
_cell_angle_beta 90.00
_cell_angle_gamma 90.00
_space_group_name_H-M_alt 'P m -3 m'
_space_group_IT_number 221
_space_group_name_Hall '-P 4 2 3'
loop_
_atom_site_label
_atom_site_fract_x
_atom_site_fract_y
_atom_site_fract_z
_atom_site_occupancy
Al1 0.000 0.000 0.000 1
Ga1 0.000 0.500 0.500 1
N1 0.500 0.500 0.500 1
```

Results
Total magnetic moment   0.0 μB/cell
VASP energy   -4.14 eV per atom

=====

(3)
AlGaN2 | PBEsol | optimized geometry

The structure in CIF format:
```
data_AlGaN2
_cell_length_a 4.434
_cell_length_b 4.434
_cell_length_c 8.878
_cell_angle_alpha 90.00
_cell_angle_beta 90.00
_cell_angle_gamma 90.00
_space_group_name_H-M_alt 'I -4 2 d'
_space_group_IT_number 122
_space_group_name_Hall 'I -4 2bw'
loop_
_atom_site_label
_atom_site_fract_x
_atom_site_fract_y
_atom_site_fract_z
_atom_site_occupancy
Al1 0.000 0.000 0.000 1
Ga1 0.000 0.000 0.500 1
N1 0.238 0.250 0.125 1
```

Results
E above lowest polymorph   6 meV per atom
Total magnetic moment   0.0 μB/cell

=====

(4)
Al2GaN3 | PBEsol | optimized geometry

The structure in CIF format:
```
data_Al2GaN3
_cell_length_a 11.484
_cell_length_b 3.134
_cell_length_c 7.421
_cell_angle_alpha 90.00
_cell_angle_beta 104.79
_cell_angle_gamma 90.00
_space_group_name_H-M_alt 'C 1 m 1'
_space_group_IT_number 8
_space_group_name_Hall 'C -2y'
loop_
_atom_site_label
_atom_site_fract_x
_atom_site_fract_y
_atom_site_fract_z
_atom_site_occupancy
Al1 0.000 0.000 0.000 1
Al2 0.055 0.000 0.613 1
Al3 0.165 0.500 0.336 1
Al4 0.334 0.000 0.668 1
Ga1 0.221 0.500 0.945 1
Ga2 0.388 0.000 0.281 1
N1 0.042 0.500 0.466 1
N2 0.093 0.500 0.076 1
N3 0.206 0.000 0.788 1
N4 0.259 0.000 0.408 1
N5 0.375 0.500 0.125 1
N6 0.429 0.500 0.738 1
```

Results
Total magnetic moment   0.0 μB/cell
VASP energy   -7.40 eV per atom

=====

Please write out number 3 again, unchanged.
AlGaN2 | PBEsol | optimized geometry

The structure in CIF format:
```
data_AlGaN2
_cell_length_a 4.434
_cell_length_b 4.434
_cell_length_c 8.878
_cell_angle_alpha 90.00
_cell_angle_beta 90.00
_cell_angle_gamma 90.00
_space_group_name_H-M_alt 'I -4 2 d'
_space_group_IT_number 122
_space_group_name_Hall 'I -4 2bw'
loop_
_atom_site_label
_atom_site_fract_x
_atom_site_fract_y
_atom_site_fract_z
_atom_site_occupancy
Al1 0.000 0.000 0.000 1
Ga1 0.000 0.000 0.500 1
N1 0.238 0.250 0.125 1
```

Results
E above lowest polymorph   6 meV per atom
Total magnetic moment   0.0 μB/cell

=====

total magnetic moment of number 2 (AlGa3N)? 0.0 μB/cell

=====

Please write out number 2 again, unchanged.
AlGa3N | PBEsol | optimized geometry

The structure in CIF format:
```
data_AlGa3N
_cell_length_a 4.277
_cell_length_b 4.277
_cell_length_c 4.277
_cell_angle_alpha 90.00
_cell_angle_beta 90.00
_cell_angle_gamma 90.00
_space_group_name_H-M_alt 'P m -3 m'
_space_group_IT_number 221
_space_group_name_Hall '-P 4 2 3'
loop_
_atom_site_label
_atom_site_fract_x
_atom_site_fract_y
_atom_site_fract_z
_atom_site_occupancy
Al1 0.000 0.000 0.000 1
Ga1 0.000 0.500 0.500 1
N1 0.500 0.500 0.500 1
```

Results
Total magnetic moment   0.0 μB/cell
VASP energy   -4.14 eV per atom